First-principles (GGA-PBE) data for a relaxed K2ReSe2 crystal, as listed in the Alexandria database.

Values from the calculation:
Uncorrected energy ... -16.943 eV/f.u.
Density of states at the Fermi level ... 7.2 states/eV/cell
Formation energy from raw total energies ... 0.934 eV/atom

The structure in CIF format:
```
data_K2ReSe2
_chemical_formula_sum 'K4 Re2 Se4'
_space_group_name_H-M_alt 'I 4/m m m'
_space_group_IT_number 139
_space_group_name_Hall '-I 4 2'
_cell_length_a 5.783
_cell_length_b 5.783
_cell_length_c 9.432
_cell_angle_alpha 90.00
_cell_angle_beta 90.00
_cell_angle_gamma 90.00
loop_
_atom_site_label
_atom_site_type_symbol
_atom_site_fract_x
_atom_site_fract_y
_atom_site_fract_z
K1 K 0.000 0.000 0.150
Re1 Re 0.000 0.000 0.500
Se1 Se 0.000 0.500 0.250
```